The following is a DFT calculation (GGA-PBE) of crystalline ZnC2 at its relaxed geometry.

* E above lowest polymorph: 0.783 eV per atom
* SG: I4/mmm

POSCAR file:
```
ZnC2
1.0
-2.1294 2.1294 2.5244
2.1294 -2.1294 2.5244
2.1294 2.1294 -2.5244
Zn C
1 2
Cartesian
0.0000 0.0000 0.0000 Zn
0.0000 0.0000 1.9036 C
0.0000 0.0000 3.1452 C
```

=====

The following is a DFT calculation (GGA-PBE) of crystalline Zn5C3 at its relaxed geometry.

* E above lowest polymorph: 0.000 eV per atom
* SG: P2_1/m

POSCAR file:
```
Zn5C3
1.0
5.6227 0.0000 0.0000
0.0000 7.2988 0.0000
-1.4829 0.0000 5.4296
Zn C
10 6
Cartesian
0.0696 1.8247 0.0672 Zn
0.5844 1.8247 3.6173 Zn
1.1794 3.8264 1.5484 Zn
1.1794 7.1218 1.5484 Zn
0.7984 5.4741 3.9168 Zn
3.3414 1.8247 1.5128 Zn
2.9604 0.1770 3.8812 Zn
2.9604 3.4724 3.8812 Zn
3.5554 5.4741 1.8123 Zn
4.0702 5.4741 5.3624 Zn
-0.0481 5.4741 2.0406 C
1.2647 1.8247 1.6537 C
1.9734 5.4741 0.4956 C
2.1664 1.8247 4.9340 C
2.8751 5.4741 3.7759 C
4.1879 1.8247 3.3890 C
```

=====

The following is a DFT calculation (GGA-PBE) of crystalline ZnC2 at its relaxed geometry.

* E above lowest polymorph: 0.725 eV per atom
* SG: P-62m

POSCAR file:
```
ZnC2
1.0
9.2343 0.0000 0.0000
-4.6171 7.9971 0.0000
0.0000 0.0000 2.5787
Zn C
3 6
Cartesian
0.0000 0.0000 0.0000 Zn
0.0000 5.3314 1.2894 Zn
4.6171 2.6657 1.2894 Zn
-1.4700 2.5462 0.0000 C
-1.4957 2.5905 1.2894 C
2.9401 0.0000 0.0000 C
2.9913 0.0000 1.2894 C
3.1215 5.4066 1.2894 C
3.1471 5.4509 0.0000 C
```

=====

The following is a DFT calculation (GGA-PBE) of crystalline Zn5C at its relaxed geometry.

* E above lowest polymorph: 0.148 eV per atom
* SG: Amm2

POSCAR file:
```
Zn5C
1.0
5.0389 0.0000 0.0000
0.0000 1.3330 6.3287
0.0000 -1.3330 6.3287
Zn C
5 1
Cartesian
0.0000 0.0000 0.0000 Zn
0.0000 0.0000 3.6223 Zn
2.5195 0.0000 2.4950 Zn
2.5195 0.0000 6.7556 Zn
2.5195 0.0000 10.9646 Zn
0.0000 0.0000 8.1223 C
```

=====

The following is a DFT calculation (GGA-PBE) of crystalline ZnC at its relaxed geometry.

* E above lowest polymorph: 0.807 eV per atom
* SG: R-3m

POSCAR file:
```
ZnC
1.0
2.8452 1.6427 2.4843
-2.8452 1.6427 2.4843
0.0000 -3.2853 2.4843
Zn C
2 2
Cartesian
0.0000 0.0000 1.1690 Zn
0.0000 0.0000 6.2839 Zn
0.0000 0.0000 3.1030 C
0.0000 0.0000 4.3499 C
```

=====

The following is a DFT calculation (GGA-PBE) of crystalline ZnC2 at its relaxed geometry.

* E above lowest polymorph: 0.813 eV per atom
* SG: Cm

POSCAR file:
```
ZnC2
1.0
4.7675 -1.3040 0.0000
4.7675 1.3040 0.0000
-1.8083 0.0000 5.1971
Zn C
2 4
Cartesian
0.0000 0.0000 0.0000 Zn
5.5123 0.0000 3.6270 Zn
2.6394 0.0000 1.3927 C
2.4055 0.0000 2.8476 C
3.5116 0.0000 3.6987 C
7.6097 0.0000 0.7259 C
```

=====

The following is a DFT calculation (GGA-PBE) of crystalline Zr4ZnC2 at its relaxed geometry.

* SG: Cmcm

POSCAR file:
```
Zr4ZnC2
1.0
1.7125 -5.6926 0.0000
1.7125 5.6926 0.0000
0.0000 0.0000 11.9352
Zr Zn C
8 2 4
Cartesian
0.0000 0.0000 0.0000 Zr
0.0000 0.0000 5.9676 Zr
1.7125 2.7175 7.2425 Zr
1.7125 2.7175 10.6603 Zr
1.7125 0.8390 2.9838 Zr
1.7125 -0.8390 8.9514 Zr
1.7125 -2.7175 1.2749 Zr
1.7125 -2.7175 4.6927 Zr
1.7125 4.4209 2.9838 Zn
1.7125 -4.4209 8.9514 Zn
1.7125 1.5511 0.7140 C
1.7125 1.5511 5.2536 C
1.7125 -1.5511 6.6816 C
1.7125 -1.5511 11.2212 C
```

=====

The following is a DFT calculation (GGA-PBE) of crystalline Zr6Zn3C at its relaxed geometry.

* SG: P2_1/c

POSCAR file:
```
Zr6Zn3C
1.0
5.8872 0.0000 0.0000
0.0000 7.2634 0.0000
-5.2586 0.0000 9.1653
Zr Zn C
12 6 2
Cartesian
-0.7878 0.3194 2.1033 Zr
-3.4171 3.3123 6.6859 Zr
0.6892 5.1530 0.5585 Zr
-1.9401 5.7420 5.1411 Zr
2.0128 1.0495 0.5012 Zr
-0.6165 2.5822 5.0838 Zr
1.2452 4.6812 4.0814 Zr
-1.3841 6.2139 8.6641 Zr
2.5688 1.5213 4.0241 Zr
-0.0605 2.1104 8.6068 Zr
4.0457 3.9511 2.4793 Zr
1.4164 6.9439 7.0620 Zr
-1.9514 0.8836 6.7940 Zn
0.6779 2.7481 2.2114 Zn
0.3143 0.0000 4.5826 Zn
2.9436 3.6317 0.0000 Zn
-0.0492 4.5153 6.9539 Zn
2.5801 6.3798 2.3713 Zn
0.0000 0.0000 0.0000 C
-2.6293 3.6317 4.5826 C
```

=====

The following is a DFT calculation (GGA-PBE) of crystalline ZrZnC3 at its relaxed geometry.

* E above lowest polymorph: 0.000 eV per atom
* SG: Pm-3m

POSCAR file:
```
ZrZnC3
1.0
3.8875 0.0000 0.0000
0.0000 3.8875 0.0000
0.0000 0.0000 3.8875
Zr Zn C
1 1 3
Cartesian
0.0000 0.0000 0.0000 Zr
1.9438 1.9438 1.9438 Zn
0.0000 1.9438 1.9438 C
1.9438 0.0000 1.9438 C
1.9438 1.9438 0.0000 C
```

=====

The following is a DFT calculation (GGA-PBE) of crystalline Zr3ZnC at its relaxed geometry.

* E above lowest polymorph: 0.000 eV per atom
* SG: Cmcm

POSCAR file:
```
Zr3ZnC
1.0
1.6958 -5.8169 0.0000
1.6958 5.8169 0.0000
0.0000 0.0000 9.0955
Zr Zn C
6 2 2
Cartesian
1.6958 5.2522 6.8216 Zr
1.6958 1.4862 4.9872 Zr
1.6958 1.4862 8.6560 Zr
1.6958 -1.4862 0.4395 Zr
1.6958 -1.4862 4.1083 Zr
1.6958 -5.2522 2.2739 Zr
1.6958 2.8680 2.2739 Zn
1.6958 -2.8680 6.8216 Zn
0.0000 0.0000 0.0000 C
0.0000 0.0000 4.5477 C
```

=====

The following is a DFT calculation (GGA-PBE) of crystalline ZrZnC3 at its relaxed geometry.

* E above lowest polymorph: 0.319 eV per atom
* SG: Pm-3m

POSCAR file:
```
ZrZnC3
1.0
4.3549 0.0000 0.0000
0.0000 4.3549 0.0000
0.0000 0.0000 4.3549
Zr Zn C
1 1 3
Cartesian
0.0000 0.0000 0.0000 Zr
2.1774 2.1774 2.1774 Zn
0.0000 0.0000 2.1774 C
0.0000 2.1774 0.0000 C
2.1774 0.0000 0.0000 C
```

=====

The following is a DFT calculation (GGA-PBE) of crystalline Zr3ZnC at its relaxed geometry.

* E above lowest polymorph: 0.095 eV per atom
* SG: Pm-3m

POSCAR file:
```
Zr3ZnC
1.0
4.5295 0.0000 0.0000
0.0000 4.5295 0.0000
0.0000 0.0000 4.5295
Zr Zn C
3 1 1
Cartesian
0.0000 0.0000 2.2648 Zr
0.0000 2.2648 0.0000 Zr
2.2648 0.0000 0.0000 Zr
2.2648 2.2648 2.2648 Zn
0.0000 0.0000 0.0000 C
```

=====

no.,volume (Å³/cell),energy of formation from the pure elements (eV/atom)
1,46,0.913
2,223,0.917
3,190,0.855
4,85,0.679
5,70,0.889
6,65,0.943
7,233,-0.575
8,392,-0.227
9,59,1.916
10,179,-0.502
11,83,2.236
12,93,-0.408